Below is an optimized crystal structure of Cu3SnPd12, with properties calculated at the PBE level.

Cell: 3.939 3.939 15.625 Å, 90.00 90.00 90.00°
Fractional coordinates of all 16 atoms:
Cu (0.000, 0.000, 0.000)
Cu (0.000, 0.000, 0.245)
Cu (0.000, 0.000, 0.755)
Sn (0.000, 0.000, 0.500)
Pd (0.000, 0.500, 0.122)
Pd (0.000, 0.500, 0.368)
Pd (0.000, 0.500, 0.632)
Pd (0.000, 0.500, 0.878)
Pd (0.500, 0.000, 0.122)
Pd (0.500, 0.000, 0.368)
Pd (0.500, 0.000, 0.632)
Pd (0.500, 0.000, 0.878)
Pd (0.500, 0.500, 0.000)
Pd (0.500, 0.500, 0.244)
Pd (0.500, 0.500, 0.500)
Pd (0.500, 0.500, 0.756)

Output
SG: P4/mmm, No. 123
DFT total energy, eV/atom: -5.07
Spin magnetization, μB per cell: 0.0